# 1
Material: HoPaB4
Method: DFT, PBE
State: optimized geometry

a = 3.6070 Å, b = 3.6070 Å, c = 11.4708 Å
α = 90.00°, β = 90.00°, γ = 90.00°
Last column: nearest neighbours and their distance in Å.
Space group I-4m2 (No. 119)
Symmetry-distinct sites (fractional):
Ho 0.0000 0.0000 0.0000 x2  12 B 2.66-2.71
Pa 0.0000 0.5000 0.2500 x2  12 B 2.67-2.71
B 0.0000 0.0000 0.4213 x4  1 B 1.81
B 0.0000 0.5000 0.6709 x4  1 B 1.81

Computed properties:
- Total energy: -0.266 Ha/atom
- Distance to the lowest polymorph of the same formula: 0.000 eV/atom
- Formation energy from the elements: -0.44 eV per atom

***

# 2
Material: HoPaB4
Method: DFT, PBE
State: optimized geometry

a = 6.7421 Å, b = 6.7421 Å, c = 6.7421 Å
α = 90.00°, β = 90.00°, γ = 90.00°
Last column: nearest neighbours and their distance in Å.
Space group F-43m (No. 216)
Symmetry-distinct sites (fractional):
Ho 0.0000 0.0000 0.0000 x4  12 B 2.88, 4 Pa 2.92
Pa 0.2500 0.2500 0.7500 x4  12 B 2.75, 4 Ho 2.92
B 0.0928 0.0928 0.4072 x16  3 B 1.77

Computed properties:
- Total energy: -0.238 Ha/atom
- Distance to the lowest polymorph of the same formula: 0.763 eV/atom
- Formation energy from the elements: 0.32 eV per atom

***

# 3
Material: HoPa2B
Method: DFT, PBE
State: optimized geometry

a = 3.4038 Å, b = 3.4038 Å, c = 28.3876 Å
α = 90.00°, β = 90.00°, γ = 120.00°
Last column: nearest neighbours and their distance in Å.
Space group R-3m (No. 166, hexagonal axes)
Symmetry-distinct sites (fractional):
Ho 0.0000 0.0000 0.0000 x3  2 Pa 3.22, 6 Ho 3.40
Pa 0.0000 0.0000 0.1134 x6  3 B 2.48
B 0.0000 0.0000 0.5000 x3  6 Pa 2.48

Computed properties:
- Total energy: -0.271 Ha/atom
- Formation energy from the elements: 0.18 eV per atom

***

no.,magnetization (μB per cell)
1,0.000
2,0.000
3,0.001